{"formula": "Cs2ReBr5O", "functional": "PBE", "state": "optimized geometry", "total_energy_ev_per_cell": -38.0, "space_group": "No. 107", "lattice_angstrom": [[-3.9610, 3.9610, 5.2718], [3.9610, -3.9610, 5.2718], [3.9610, 3.9610, -5.2718]], "species": ["Cs", "Cs", "Re", "Br", "Br", "Br", "Br", "Br", "O"], "fractional_positions": [[0.0000, 0.5000, 0.5000], [0.5000, 0.0000, 0.5000], [0.2703, 0.2703, 0.0000], [0.0176, 0.0176, 0.0000], [0.0224, 0.0224, 0.5437], [0.0224, 0.4787, 0.0000], [0.4787, 0.0224, 0.0000], [0.4787, 0.4787, 0.4563], [0.4317, 0.4317, 0.0000]]}



{"formula": "Pm8YCo2", "functional": "PBE", "state": "optimized geometry", "space_group": "No. 12", "ef_kj_per_mol_atoms": 8, "n_ef_per_ev_atom": 1.039, "lattice_angstrom": [[6.1763, -4.1385, 0.0000], [6.1763, 4.1385, 0.0000], [-2.5931, 0.0000, 6.8418]], "species": ["Pm", "Pm", "Pm", "Pm", "Pm", "Pm", "Pm", "Pm", "Y", "Co", "Co"], "fractional_positions": [[0.0861, 0.6928, 0.6800], [0.1776, 0.1776, 0.8249], [0.3072, 0.9139, 0.3200], [0.3717, 0.3717, 0.3135], [0.6283, 0.6283, 0.6865], [0.6928, 0.0861, 0.6800], [0.8224, 0.8224, 0.1751], [0.9139, 0.3072, 0.3200], [0.5000, 0.5000, 0.0000], [0.3099, 0.3099, 0.6102], [0.6901, 0.6901, 0.3898]]}



{"formula": "Th4Zn3Hg", "functional": "PBE", "state": "optimized geometry", "space_group": "No. 47", "ef_kj_per_mol_atoms": -15, "n_ef_per_ev_atom": 0.657, "lattice_angstrom": [[3.6851, 0.0000, 0.0000], [0.0000, 5.2998, 0.0000], [0.0000, 0.0000, 10.5336]], "species": ["Th", "Th", "Th", "Th", "Zn", "Zn", "Zn", "Hg"], "fractional_positions": [[0.0000, 0.0000, 0.0000], [0.0000, 0.0000, 0.5000], [0.0000, 0.5000, 0.2397], [0.0000, 0.5000, 0.7603], [0.5000, 0.0000, 0.2490], [0.5000, 0.0000, 0.7510], [0.5000, 0.5000, 0.0000], [0.5000, 0.5000, 0.5000]]}



{"formula": "HoSn2Sb", "functional": "PBE", "state": "optimized geometry", "polymorph_energy_mev_per_atom": 0, "space_group": "No. 123", "n_ef_per_ev_atom": 0.605, "lattice_angstrom": [[4.5320, 0.0000, 0.0000], [0.0000, 4.5320, 0.0000], [0.0000, 0.0000, 5.1665]], "species": ["Ho", "Sn", "Sn", "Sb"], "fractional_positions": [[0.0000, 0.0000, 0.0000], [0.0000, 0.5000, 0.5000], [0.5000, 0.0000, 0.5000], [0.5000, 0.5000, 0.0000]]}



{"formula": "Na3TaSi", "functional": "PBE", "state": "optimized geometry", "polymorph_energy_mev_per_atom": 409, "space_group": "No. 221", "n_ef_per_ev_atom": 1.070, "lattice_angstrom": [[5.7807, 0.0000, 0.0000], [0.0000, 5.7807, 0.0000], [0.0000, 0.0000, 5.7807]], "species": ["Na", "Na", "Na", "Ta", "Si"], "fractional_positions": [[0.0000, 0.0000, 0.5000], [0.0000, 0.5000, 0.0000], [0.5000, 0.0000, 0.0000], [0.0000, 0.0000, 0.0000], [0.5000, 0.5000, 0.5000]]}



{"formula": "NiSbP2", "functional": "PBE", "state": "optimized geometry", "total_energy_ev_per_cell": -41.5, "space_group": "No. 8", "n_ef_per_ev_atom": 0.423, "lattice_angstrom": [[7.0823, 0.0000, 0.0000], [0.0000, 3.6537, 0.0000], [-1.0136, 0.0000, 5.6360]], "species": ["Ni", "Ni", "Sb", "Sb", "P", "P", "P", "P"], "fractional_positions": [[0.0000, 0.0000, 0.0000], [0.5000, 0.5000, 0.0000], [0.3899, 0.5000, 0.5358], [0.8899, 0.0000, 0.5358], [0.0372, 0.5000, 0.2412], [0.2950, 0.0000, 0.8984], [0.5372, 0.0000, 0.2412], [0.7950, 0.5000, 0.8984]]}



no.,density (g cm⁻³),total moment (μB/cell)
1,4.35,0.00
2,6.49,0.00
3,10.69,0.00
4,8.20,0.00
5,2.39,2.97
6,5.52,0.00